Below is a relaxed structure of Ti8InSb2, with properties calculated at the PBE level.

Unit cell a=4.2057 b=7.0474 c=7.6864 alpha=112.12 beta=105.88 gamma=90.00
Sites, in units of the cell vectors:
Ti (0.4157, 0.5512, 0.8314)
Ti (0.6796, 0.9091, 0.3592)
Ti (0.8532, 0.7915, 0.7064)
Ti (0.9588, 0.2472, 0.9176)
Ti (0.1468, 0.2085, 0.2936)
Ti (0.3204, 0.0909, 0.6408)
Ti (0.5843, 0.4488, 0.1686)
Ti (0.0412, 0.7528, 0.0824)
In (0.5000, 0.0000, 0.0000)
Sb (0.7898, 0.3429, 0.5797)
Sb (0.2102, 0.6571, 0.4203)



Below is a relaxed structure of Ti6InSb3, with properties calculated at the PBE level.

Unit cell a=6.9715 b=7.9679 c=7.9679 alpha=113.23 beta=90.00 gamma=90.00
Sites, in units of the cell vectors:
Ti (0.1099, 0.7633, 0.6200)
Ti (0.6099, 0.6200, 0.7633)
Ti (0.3052, 0.5550, 0.9773)
Ti (0.8052, 0.9773, 0.5550)
Ti (0.2853, 0.9485, 0.0515)
Ti (0.5533, 0.2651, 0.7349)
Ti (0.0533, 0.7349, 0.2651)
Ti (0.7853, 0.0515, 0.9485)
Ti (0.3052, 0.0227, 0.4450)
Ti (0.8052, 0.4450, 0.0227)
Ti (0.1099, 0.3800, 0.2367)
Ti (0.6099, 0.2367, 0.3800)
In (0.0968, 0.1881, 0.8119)
In (0.5968, 0.8119, 0.1881)
Sb (0.4667, 0.9096, 0.7036)
Sb (0.9667, 0.7036, 0.9096)
Sb (0.2864, 0.4250, 0.5750)
Sb (0.7864, 0.5750, 0.4250)
Sb (0.9667, 0.0904, 0.2964)
Sb (0.4667, 0.2964, 0.0904)



Below is a relaxed structure of Ti2In2Sb, with properties calculated at the PBE level.

Unit cell a=7.0370 b=7.0370 c=4.3731 alpha=90.00 beta=90.00 gamma=90.00
Sites, in units of the cell vectors:
Sb (0.0000, 0.0000, 0.0000)
Sb (0.5000, 0.5000, 0.0000)
Ti (0.3524, 0.8524, 0.0000)
Ti (0.8524, 0.6476, 0.0000)
Ti (0.6476, 0.1476, 0.0000)
Ti (0.1476, 0.3524, 0.0000)
In (0.1551, 0.6551, 0.5000)
In (0.6551, 0.8449, 0.5000)
In (0.8449, 0.3449, 0.5000)
In (0.3449, 0.1551, 0.5000)



Below is a relaxed structure of Ti6In2Sb, with properties calculated at the PBE level.

Unit cell a=4.5623 b=6.3615 c=7.8881 alpha=113.78 beta=107.05 gamma=90.00
Site moments in Bohr magnetons follow the coordinates.
Sites, in units of the cell vectors:
Ti (0.1684, 0.4178, 0.3359)  0.48
Ti (0.8316, 0.0819, 0.6641)  0.48
Ti (0.8316, 0.5822, 0.6641)  0.48
Ti (0.5000, 0.2482, 0.0000)  0.14
Ti (0.1684, 0.9181, 0.3359)  0.48
Ti (0.5000, 0.7518, 0.0000)  0.14
In (0.6657, 0.6652, 0.3303)  -0.01
In (0.3343, 0.3348, 0.6697)  -0.01
Sb (0.0000, 0.0000, 0.0000)  -0.01



Below is a relaxed structure of TiIn3Sb, with properties calculated at the PBE level.

Unit cell a=5.3734 b=5.3734 c=5.3734 alpha=90.00 beta=90.00 gamma=90.00
Sites, in units of the cell vectors:
Sb (0.5000, 0.5000, 0.5000)
Ti (0.0000, 0.0000, 0.0000)
In (0.0000, 0.5000, 0.0000)
In (0.0000, 0.0000, 0.5000)
In (0.5000, 0.0000, 0.0000)



Below is a relaxed structure of Ti12InSb6, with properties calculated at the PBE level.

Unit cell a=7.6549 b=7.6549 c=7.6549 alpha=106.97 beta=106.97 gamma=106.97
Sites, in units of the cell vectors:
Ti (0.8250, 0.5100, 0.3861)
Ti (0.3861, 0.8250, 0.5100)
Ti (0.5100, 0.3861, 0.8250)
Ti (0.1750, 0.4900, 0.6139)
Ti (0.6139, 0.1750, 0.4900)
Ti (0.4900, 0.6139, 0.1750)
Ti (0.8934, 0.7300, 0.1753)
Ti (0.2700, 0.8247, 0.1066)
Ti (0.8247, 0.1066, 0.2700)
Ti (0.1066, 0.2700, 0.8247)
Ti (0.7300, 0.1753, 0.8934)
Ti (0.1753, 0.8934, 0.7300)
In (0.0000, 0.0000, 0.0000)
Sb (0.7874, 0.8963, 0.5324)
Sb (0.4676, 0.2126, 0.1037)
Sb (0.1037, 0.4676, 0.2126)
Sb (0.2126, 0.1037, 0.4676)
Sb (0.5324, 0.7874, 0.8963)
Sb (0.8963, 0.5324, 0.7874)



Below is a relaxed structure of Tl12In2Sb, with properties calculated at the PBE level.

Unit cell a=6.7064 b=6.7064 c=22.6391 alpha=90.00 beta=90.00 gamma=90.00
Sites, in units of the cell vectors:
Tl (0.5000, 0.5000, 0.7983)
Tl (0.0000, 0.0000, 0.7983)
Tl (0.7519, 0.7481, 0.9036)
Tl (0.2519, 0.7519, 0.9036)
Tl (0.0000, 0.0000, 0.3386)
Tl (0.2481, 0.7481, 0.0964)
Tl (0.8256, 0.3256, 0.5642)
Tl (0.5000, 0.5000, 0.3386)
Tl (0.2481, 0.2519, 0.9036)
Tl (0.7481, 0.7519, 0.0964)
Tl (0.3256, 0.1744, 0.5642)
Tl (0.6744, 0.1744, 0.4358)
Tl (0.0000, 0.0000, 0.6614)
Tl (0.1744, 0.3256, 0.4358)
Tl (0.2519, 0.2481, 0.0964)
Tl (0.8256, 0.6744, 0.4358)
Tl (0.6744, 0.8256, 0.5642)
Tl (0.0000, 0.0000, 0.2017)
Tl (0.1744, 0.6744, 0.5642)
Tl (0.5000, 0.5000, 0.6614)
Tl (0.7481, 0.2481, 0.9036)
Tl (0.5000, 0.5000, 0.2017)
Tl (0.3256, 0.8256, 0.4358)
Tl (0.7519, 0.2519, 0.0964)
In (0.5000, 0.0000, 0.2906)
In (0.0000, 0.5000, 0.2906)
In (0.0000, 0.5000, 0.7094)
In (0.5000, 0.0000, 0.7094)
Sb (0.5000, 0.0000, 0.0000)
Sb (0.0000, 0.5000, 0.0000)



Below is a relaxed structure of Tl23InSb6, with properties calculated at the PBE level.

Unit cell a=11.0720 b=11.0720 c=11.0720 alpha=60.00 beta=60.00 gamma=60.00
Sites, in units of the cell vectors:
Tl (0.6156, 0.1281, 0.1281)
Tl (0.3844, 0.8719, 0.8719)
Tl (0.1281, 0.1281, 0.6156)
Tl (0.1281, 0.1281, 0.1281)
Tl (0.8719, 0.8719, 0.3844)
Tl (0.8719, 0.8719, 0.8719)
Tl (0.1281, 0.6156, 0.1281)
Tl (0.8719, 0.3844, 0.8719)
Tl (0.5000, 0.5000, 0.0000)
Tl (0.0000, 0.0000, 0.5000)
Tl (0.5000, 0.0000, 0.0000)
Tl (0.0000, 0.5000, 0.5000)
Tl (0.5000, 0.0000, 0.5000)
Tl (0.0000, 0.5000, 0.0000)
Tl (0.8742, 0.3753, 0.3753)
Tl (0.1258, 0.6247, 0.6247)
Tl (0.3753, 0.3753, 0.8742)
Tl (0.3753, 0.3753, 0.3753)
Tl (0.6247, 0.6247, 0.1258)
Tl (0.6247, 0.6247, 0.6247)
Tl (0.3753, 0.8742, 0.3753)
Tl (0.6247, 0.1258, 0.6247)
Tl (0.0000, 0.0000, 0.0000)
In (0.5000, 0.5000, 0.5000)
Sb (0.7538, 0.7538, 0.2462)
Sb (0.2462, 0.2462, 0.7538)
Sb (0.7538, 0.2462, 0.2462)
Sb (0.2462, 0.7538, 0.7538)
Sb (0.7538, 0.2462, 0.7538)
Sb (0.2462, 0.7538, 0.2462)



Below is a relaxed structure of Tl2InSb, with properties calculated at the PBE level.

Output
- distance to the lowest polymorph of the same formula (eV/atom) = 0.000

Unit cell a=3.5084 b=4.3599 c=7.9052 alpha=90.00 beta=90.00 gamma=90.00
Sites, in units of the cell vectors:
Sb (0.5000, 0.5000, 0.7274)
Tl (0.0000, 0.0000, 0.9813)
Tl (0.5000, 0.5000, 0.2758)
In (0.0000, 0.0000, 0.5154)



Below is a relaxed structure of TlIn3Sb, with properties calculated at the PBE level.

Output
- distance to the lowest polymorph of the same formula (eV/atom) = 0.000

Unit cell a=5.7568 b=5.7568 c=5.7568 alpha=90.00 beta=90.00 gamma=90.00
Sites, in units of the cell vectors:
Sb (0.0000, 0.0000, 0.0000)
Tl (0.5000, 0.5000, 0.5000)
In (0.0000, 0.5000, 0.0000)
In (0.0000, 0.0000, 0.5000)
In (0.5000, 0.0000, 0.0000)



Below is a relaxed structure of Tl2InSb, with properties calculated at the PBE level.

Output
- distance to the lowest polymorph of the same formula (eV/atom) = 0.033

Unit cell a=3.4060 b=3.4060 c=10.4424 alpha=90.00 beta=90.00 gamma=101.61
Sites, in units of the cell vectors:
Sb (0.5000, 0.5000, 0.7408)
Tl (0.0000, 0.0000, 0.9900)
Tl (0.5000, 0.5000, 0.2588)
In (0.0000, 0.0000, 0.5105)



Below is a relaxed structure of TlInSb2, with properties calculated at the PBE level.

Output
- distance to the lowest polymorph of the same formula (eV/atom) = 0.047

Unit cell a=3.9751 b=3.9751 c=7.5185 alpha=90.00 beta=90.00 gamma=90.00
Sites, in units of the cell vectors:
In (0.5000, 0.5000, 0.7706)
Sb (0.0000, 0.0000, 0.0219)
Sb (0.5000, 0.5000, 0.2072)
Tl (0.0000, 0.0000, 0.5003)



The evaluated formation energy from raw total energies for the records listed, in turn: -24.1, -24.0, -16.8, 26.5, 54.7, -25.4, 10.8, 3.5, -0.1, 39.3, 3.1, 5.2 kJ per mole of atoms.
The evaluated density for the records listed, in turn: 6.1, 6.3, 6.9, 5.3, 5.5, 6.3, 9.1, 9.6, 8.9, 5.8, 9.0, 7.9 Mg/m³.
The evaluated V for the records listed, in turn: 18.331, 20.337, 21.655, 22.050, 31.030, 19.679, 33.940, 31.992, 30.230, 38.157, 29.666, 29.700 Å³/atom.